Version P
This record from the Alexandria database describes a geometry-optimized Mg2MnW structure. The functional is PBE.

a b c (Å): 4.696 2.725 5.243
angles (deg): 77.36 90.00 90.00
Site moments in Bohr magnetons follow the coordinates.
Atoms (fractional coordinates):
W  0.500  0.750  0.750  -0.35
Mg  0.000  0.455  0.497  -0.02
Mn  0.500  0.250  0.250  2.65
Mg  0.000  0.045  0.003  -0.02

Results
- DOS at the Fermi energy (states/eV/f.u.) = 3.3
- size of the total moment (μB per formula unit) = 2.1
- V (Å³/cell) = 65


Version Q
This record from the Alexandria database describes a geometry-optimized Mg2MnW structure. The functional is PBE.

a b c (Å): 5.267 5.267 2.734
angles (deg): 90.00 90.00 117.54
Site moments in Bohr magnetons follow the coordinates.
Atoms (fractional coordinates):
Mn  0.500  0.000  0.500  3.05
Mg  0.500  0.500  0.000  -0.02
Mg  0.000  0.000  0.000  -0.02
W  0.000  0.500  0.500  -0.21

Results
- DOS at the Fermi energy (states/eV/f.u.) = 3.9
- size of the total moment (μB per formula unit) = 2.8
- V (Å³/cell) = 67


Among the structures above, stability is smallest for version Q.